The following is a DFT calculation (GGA-PBE) of a relaxed CuNi2Br crystal.

extended XYZ file:
```
8
Lattice="3.000 0.000 0.000 0.000 3.822 0.000 0.000 0.000 10.812" Properties=species:S:1:pos:R:3 pbc="T T T"
Cu 0.000 0.000 0.000
Cu 1.500 1.911 5.406
Ni 0.000 0.000 5.892
Ni 0.000 1.911 9.374
Ni 1.500 0.000 3.968
Ni 1.500 1.911 0.486
Br 0.000 1.911 2.455
Br 1.500 0.000 7.861
```

Output
The calculation puts the uncorrected formation energy at 0.42 eV per atom. For the density of states at the Fermi level, the calculation gives 9.9 states/eV per cell. For the final energy, the calculation gives -0.1439 Ha/atom. The calculation puts the energy above the most stable polymorph in this dataset at 0.0980 eV per atom.

***

The following is a DFT calculation (GGA-PBE) of a relaxed HfIn6Br12 crystal.

extended XYZ file:
```
19
Lattice="6.465 3.732 5.309 -6.465 3.732 5.309 0.000 -7.465 5.309" Properties=species:S:1:pos:R:3 pbc="T T T"
Hf 0.000 0.000 0.000
In -1.433 -3.008 6.424
In -3.321 -0.263 9.505
In -1.888 2.745 6.424
In 1.888 -2.745 9.505
In 3.321 0.263 6.424
In 1.433 3.008 9.505
Br -6.071 -1.636 9.079
Br -1.618 -6.076 6.850
Br -3.034 -0.065 6.444
Br -4.453 4.440 6.850
Br -1.461 -2.660 9.484
Br 1.573 -2.595 6.444
Br -1.573 2.595 9.484
Br 1.461 2.660 6.444
Br 4.453 -4.440 9.079
Br 3.034 0.065 9.484
Br 1.618 6.076 9.079
Br 6.071 1.636 6.850
```

Output
The calculation puts the uncorrected formation energy at -0.80 eV per atom. For the density of states at the Fermi level, the calculation gives 10.1 states/eV per cell. For the final energy, the calculation gives -0.1194 Ha/atom.

***

The following is a DFT calculation (GGA-PBE) of a relaxed LuZrIn crystal.

extended XYZ file:
```
6
Lattice="3.389 0.000 0.000 0.000 3.389 0.000 0.000 0.000 12.876" Properties=species:S:1:pos:R:3 pbc="T T T"
Lu 0.000 0.000 0.000
Lu 1.694 1.694 6.438
Zr 0.000 0.000 8.654
Zr 1.694 1.694 2.216
In 0.000 0.000 4.243
In 1.694 1.694 10.681
```

Output
For the density of states at the Fermi level, the calculation gives 4.1 states/eV per cell. For the final energy, the calculation gives -0.2028 Ha/atom. The value obtained for the energy relative to the elements is -0.2497 eV/atom.

***

The following is a DFT calculation (GGA-PBE) of a relaxed AlNiW3 crystal.

extended XYZ file:
```
5
Lattice="4.473 0.000 0.000 0.000 4.473 0.000 0.000 0.000 4.473" Properties=species:S:1:pos:R:3 pbc="T T T"
Al 0.000 0.000 0.000
Ni 2.237 2.237 2.237
W 0.000 2.237 2.237
W 2.237 0.000 2.237
W 2.237 2.237 0.000
```

Output
For the density of states at the Fermi level, the calculation gives 3.9 states/eV per cell. For the final energy, the calculation gives -0.3040 Ha/atom. The calculation puts the energy above the most stable polymorph in this dataset at 0.0000 eV per atom. The value obtained for the energy relative to the elements is 1.4036 eV/atom.

***

The following is a DFT calculation (GGA-PBE) of a relaxed AlTl2Os crystal.

extended XYZ file:
```
4
Lattice="3.758 0.000 0.000 0.000 3.758 0.000 0.000 0.000 5.677" Properties=species:S:1:pos:R:3 pbc="T T T"
Al 0.000 0.000 0.000
Tl 1.879 1.879 1.445
Tl 1.879 1.879 4.232
Os 0.000 0.000 2.838
```

Output
For the density of states at the Fermi level, the calculation gives 2.0 states/eV per cell. For the final energy, the calculation gives -0.1519 Ha/atom. The calculation puts the energy above the most stable polymorph in this dataset at 0.5547 eV per atom. The value obtained for the energy relative to the elements is 0.7939 eV/atom.

***

The following is a DFT calculation (GGA-PBE) of a relaxed Pm2Tm3Pd2 crystal.

extended XYZ file:
```
14
Lattice="12.537 0.000 0.000 0.000 3.698 0.000 -4.247 0.000 8.033" Properties=species:S:1:pos:R:3 pbc="T T T"
Pm 0.604 0.000 2.516
Pm 1.418 1.849 5.517
Pm 6.873 1.849 2.516
Pm 7.686 0.000 5.517
Tm -2.123 1.849 4.016
Tm -2.557 1.849 7.565
Tm 4.579 0.000 0.468
Tm 4.145 0.000 4.016
Tm 3.712 0.000 7.565
Tm 10.847 1.849 0.468
Pd -1.081 0.000 5.944
Pd 3.103 1.849 2.088
Pd 5.188 1.849 5.944
Pd 9.371 0.000 2.088
```

Output
For the density of states at the Fermi level, the calculation gives 15.9 states/eV per cell. For the final energy, the calculation gives -0.1946 Ha/atom. The calculation puts the energy above the most stable polymorph in this dataset at 0.0000 eV per atom. The value obtained for the energy relative to the elements is -0.5382 eV/atom.

***

The following is a DFT calculation (GGA-PBE) of a relaxed NaBeI2 crystal.

extended XYZ file:
```
16
Lattice="6.478 0.000 0.000 0.000 6.478 0.000 0.000 0.000 14.472" Properties=species:S:1:pos:R:3 pbc="T T T"
Na 0.000 0.000 0.000
Na 0.000 3.239 3.618
Na 3.239 0.000 10.854
Na 3.239 3.239 7.236
Be 0.000 0.000 7.236
Be 0.000 3.239 10.854
Be 3.239 0.000 3.618
Be 3.239 3.239 0.000
I 1.173 1.620 9.045
I 1.620 4.412 12.663
I 1.620 5.305 5.427
I 2.066 1.620 1.809
I 4.412 4.859 1.809
I 4.859 1.173 5.427
I 4.859 2.066 12.663
I 5.305 4.859 9.045
```

Output
The calculation puts the uncorrected formation energy at -0.20 eV per atom. For the density of states at the Fermi level, the calculation gives 3.0 states/eV per cell. For the final energy, the calculation gives -0.0823 Ha/atom. The calculation puts the energy above the most stable polymorph in this dataset at 0.0000 eV per atom.

***

The following is a DFT calculation (GGA-PBE) of a relaxed TaV2Re3 crystal.

extended XYZ file:
```
6
Lattice="3.100 0.000 0.000 0.000 3.100 0.000 0.000 0.000 9.294" Properties=species:S:1:pos:R:3 pbc="T T T"
Ta 0.000 0.000 0.000
V 0.000 0.000 3.146
V 0.000 0.000 6.148
Re 1.550 1.550 1.649
Re 1.550 1.550 4.647
Re 1.550 1.550 7.645
```

Output
For the density of states at the Fermi level, the calculation gives 3.0 states/eV per cell. For the final energy, the calculation gives -0.4255 Ha/atom. The value obtained for the energy relative to the elements is -0.3398 eV/atom.

***

The following is a DFT calculation (GGA-PBE) of a relaxed Ho3Tl4Te8As crystal.

extended XYZ file:
```
16
Lattice="4.409 2.545 8.131 -4.409 2.545 8.131 0.000 -5.091 8.131" Properties=species:S:1:pos:R:3 pbc="T T T"
Ho -2.204 -1.273 8.131
Ho -2.204 1.273 16.261
Ho 0.000 2.545 8.131
Tl -4.409 0.000 12.196
Tl -2.204 1.273 4.065
Tl 2.204 1.273 4.065
Tl 0.000 0.000 12.196
Te 0.000 -2.637 9.801
Te -2.283 1.318 9.801
Te -2.283 -1.318 14.591
Te 0.000 0.000 6.388
Te 0.000 0.000 18.004
Te 2.283 1.318 9.801
Te 2.283 -1.318 14.591
Te 0.000 2.637 14.591
As 0.000 0.000 0.000
```

Output
The calculation puts the uncorrected formation energy at -0.80 eV per atom. For the density of states at the Fermi level, the calculation gives 0.3 states/eV per cell. For the final energy, the calculation gives -0.1511 Ha/atom.

***

The following is a DFT calculation (GGA-PBE) of a relaxed RbGaOs3 crystal.

extended XYZ file:
```
5
Lattice="4.881 0.000 0.000 0.000 4.881 0.000 0.000 0.000 4.881" Properties=species:S:1:pos:R:3 pbc="T T T"
Rb 0.000 0.000 0.000
Ga 2.440 2.440 2.440
Os 0.000 0.000 2.440
Os 0.000 2.440 0.000
Os 2.440 0.000 0.000
```

Output
For the density of states at the Fermi level, the calculation gives 5.5 states/eV per cell. For the final energy, the calculation gives -0.1304 Ha/atom. The calculation puts the energy above the most stable polymorph in this dataset at 1.8374 eV per atom. The value obtained for the energy relative to the elements is 3.9892 eV/atom.

***

The following is a DFT calculation (GGA-PBE) of a relaxed Li3MgU3Te8 crystal.

extended XYZ file:
```
15
Lattice="4.291 2.477 7.098 -4.291 2.477 7.098 0.000 -4.955 7.098" Properties=species:S:1:pos:R:3 pbc="T T T"
Li -2.146 -1.239 7.098
Li -2.146 1.239 14.196
Li 0.000 2.477 7.098
Mg 0.000 0.000 10.647
U -4.291 0.000 10.647
U -2.146 1.239 3.549
U 2.146 1.239 3.549
Te 0.000 -2.447 8.873
Te -2.119 1.223 8.873
Te 0.000 0.000 5.407
Te -2.119 -1.223 12.422
Te 2.119 1.223 8.872
Te 0.000 0.000 15.888
Te 2.119 -1.223 12.422
Te 0.000 2.447 12.422
```

Output
The calculation puts the uncorrected formation energy at -0.75 eV per atom. For the density of states at the Fermi level, the calculation gives 16.1 states/eV per cell. For the final energy, the calculation gives -0.1901 Ha/atom.

***

The following is a DFT calculation (GGA-PBE) of a relaxed Pa2H4Ru crystal.

extended XYZ file:
```
14
Lattice="3.387 0.000 0.000 0.000 3.387 0.000 0.000 0.000 13.901" Properties=species:S:1:pos:R:3 pbc="T T T"
Pa 0.000 0.000 2.012
Pa 0.000 0.000 11.889
Pa 1.693 1.693 4.938
Pa 1.693 1.693 8.963
H 0.000 0.000 4.272
H 0.000 0.000 9.629
H 0.000 1.693 0.000
H 0.000 1.693 6.951
H 1.693 0.000 0.000
H 1.693 0.000 6.951
H 1.693 1.693 2.679
H 1.693 1.693 11.223
Ru 0.000 0.000 6.951
Ru 1.693 1.693 0.000
```

Output
For the density of states at the Fermi level, the calculation gives 15.4 states/eV per cell. For the final energy, the calculation gives -0.2253 Ha/atom.